The following is a DFT calculation (PBEsol) of a relaxed TaSb2Pb crystal.

Lattice parameters (Å, degrees): 3.5429 4.9998 5.2355 90.00 90.00 90.00
With the nearest neighbours (Å) after each atom.
Fractional positions:
1 Ta 0.0000 0.0000 0.0000  4 Sb 3.06, 4 Pb 3.16
2 Sb 0.0000 0.5000 0.5000  4 Pb 3.06, 4 Sb 3.16
3 Sb 0.5000 0.5000 0.0000  4 Ta 3.06, 4 Sb 3.16
4 Pb 0.5000 0.0000 0.5000  4 Sb 3.06, 4 Ta 3.16

Summary:
theoretical density = 11.31 g/cm³
DFT total energy = -5.857 eV per atom
E_form (uncorrected) = 0.56 eV per atom